Computed, not measured: a geometry-optimized La2GeB structure at the PBE level of DFT.

a = 5.1059 Å, b = 5.1059 Å, c = 5.1059 Å
α = 60.00°, β = 60.00°, γ = 60.00°
Last column: nearest neighbours and their distance in Å.
Fractional coordinates of all 4 atoms:
B  0.0000  0.0000  0.0000  8 La 3.13
La  0.7500  0.7500  0.7500  4 Ge 3.13, 4 B 3.13
La  0.2500  0.2500  0.2500  4 Ge 3.13, 4 B 3.13
Ge  0.5000  0.5000  0.5000  8 La 3.13

Symmetry: Fm-3m (225)
N(E_F) in states/eV/f.u.: 2.28
Energy above the lowest structure with this stoichiometry in eV per atom: 0.0000
Crystal system: cubic
Energy of formation from the pure elements in eV/atom: -0.0294


Computed, not measured: a geometry-optimized K12Na6Li structure at the PBE level of DFT.

a = 10.3247 Å, b = 10.3247 Å, c = 10.3247 Å
α = 87.05°, β = 87.05°, γ = 87.05°
Last column: nearest neighbours and their distance in Å.
Fractional coordinates of all 19 atoms:
K  0.3704  0.1504  0.0263  4 K 4.03-4.40, 4 Na 4.11-4.37, 1 Li 4.23
K  0.4648  0.1951  0.5685  3 Na 4.18-4.50, 5 K 4.35-4.54
Na  0.7552  0.0979  0.2431  1 Li 3.61, 2 Na 3.76
K  0.5352  0.8049  0.4315  3 Na 4.18-4.50, 5 K 4.35-4.54
K  0.1951  0.5685  0.4648  3 Na 4.18-4.50, 5 K 4.35-4.54
K  0.6296  0.8496  0.9737  4 K 4.03-4.40, 4 Na 4.11-4.37, 1 Li 4.23
K  0.8049  0.4315  0.5352  3 Na 4.18-4.50, 5 K 4.35-4.54
Na  0.7569  0.2448  0.9021  1 Li 3.61, 2 Na 3.76
Na  0.2448  0.9021  0.7569  1 Li 3.61, 2 Na 3.76
K  0.8496  0.9737  0.6296  4 K 4.03-4.40, 4 Na 4.11-4.37, 1 Li 4.23
K  0.5685  0.4648  0.1951  3 Na 4.18-4.50, 5 K 4.35-4.54
Na  0.9021  0.7569  0.2448  1 Li 3.61, 2 Na 3.76
K  0.9737  0.6296  0.8496  4 K 4.03-4.40, 4 Na 4.11-4.37, 1 Li 4.23
K  0.1504  0.0263  0.3704  4 K 4.03-4.40, 4 Na 4.11-4.37, 1 Li 4.23
Na  0.0979  0.2431  0.7552  1 Li 3.61, 2 Na 3.76
K  0.4315  0.5352  0.8049  3 Na 4.18-4.50, 5 K 4.35-4.54
Li  0.0000  0.0000  0.0000  6 Na 3.61
K  0.0263  0.3704  0.1504  4 K 4.03-4.40, 4 Na 4.11-4.37, 1 Li 4.23
Na  0.2431  0.7552  0.0979  1 Li 3.61, 2 Na 3.76

Symmetry: R-3 (148)
N(E_F) in states/eV/f.u.: 14.47
Crystal system: trigonal
Energy of formation from the pure elements in eV/atom: 0.0350


Computed, not measured: a geometry-optimized PrAgPbSe3 structure at the PBE level of DFT.

a = 4.1278 Å, b = 8.8243 Å, c = 9.3437 Å
α = 100.19°, β = 90.00°, γ = 90.00°
Last column: nearest neighbours and their distance in Å.
Fractional coordinates of all 12 atoms:
Ag  0.2500  0.0897  0.5836  4 Se 2.71-2.84, 2 Ag 2.89
Se  0.7500  0.9131  0.1263  1 Ag 2.71
Se  0.2500  0.0869  0.8737  1 Ag 2.71
Ag  0.7500  0.9103  0.4164  4 Se 2.71-2.84, 2 Ag 2.89
Pb  0.2500  0.6571  0.1713  6 Se 2.94-3.29
Pr  0.2500  0.1677  0.2255  7 Se 3.05-3.24
Se  0.7500  0.3955  0.1484  3 Pb 2.94-3.08, 2 Pr 3.05
Pb  0.7500  0.3429  0.8287  6 Se 2.94-3.29
Se  0.7500  0.2376  0.4725  3 Ag 2.74-2.84
Se  0.2500  0.6045  0.8516  3 Pb 2.94-3.08, 2 Pr 3.05
Pr  0.7500  0.8323  0.7745  7 Se 3.05-3.24
Se  0.2500  0.7624  0.5275  3 Ag 2.74-2.84

E_form (uncorrected) in meV per atom: -974
Symmetry: P2_1/m (11)
Crystal system: monoclinic


Computed, not measured: a geometry-optimized HoMnAgBr6 structure at the PBE level of DFT.

a = 6.9411 Å, b = 6.9411 Å, c = 12.9573 Å
α = 90.00°, β = 90.00°, γ = 120.00°
Last column: nearest neighbours and their distance in Å.
Fractional coordinates of all 18 atoms:
Br  0.3435  0.9891  0.1292  1 Mn 2.70, 1 Ho 2.80, 1 Ag 2.95
Br  0.3544  0.3435  0.8708  1 Mn 2.70, 1 Ho 2.80, 1 Ag 2.95
Mn  0.3333  0.6667  0.2500  6 Br 2.70
Ho  0.6667  0.3333  0.2500  6 Br 2.80
Br  0.9891  0.3435  0.6292  1 Mn 2.70, 1 Ho 2.80, 1 Ag 2.95
Br  0.9891  0.6456  0.8708  1 Mn 2.70, 1 Ho 2.80, 1 Ag 2.95
Br  0.6456  0.9891  0.3708  1 Mn 2.70, 1 Ho 2.80, 1 Ag 2.95
Ag  0.0000  0.0000  0.0000  6 Br 2.95
Ag  0.0000  0.0000  0.5000  6 Br 2.95
Ho  0.3333  0.6667  0.7500  6 Br 2.80
Br  0.6565  0.6456  0.6292  1 Mn 2.70, 1 Ho 2.80, 1 Ag 2.95
Br  0.0109  0.3544  0.1292  1 Mn 2.70, 1 Ho 2.80, 1 Ag 2.95
Br  0.3544  0.0109  0.6292  1 Mn 2.70, 1 Ho 2.80, 1 Ag 2.95
Br  0.6565  0.0109  0.8708  1 Mn 2.70, 1 Ho 2.80, 1 Ag 2.95
Br  0.0109  0.6565  0.3708  1 Mn 2.70, 1 Ho 2.80, 1 Ag 2.95
Br  0.6456  0.6565  0.1292  1 Mn 2.70, 1 Ho 2.80, 1 Ag 2.95
Br  0.3435  0.3544  0.3708  1 Mn 2.70, 1 Ho 2.80, 1 Ag 2.95
Mn  0.6667  0.3333  0.7500  6 Br 2.70

E_form (uncorrected) in meV per atom: -1138
Symmetry: P-31c (163)
N(E_F) in states/eV/f.u.: 0.00
Crystal system: trigonal


Computed, not measured: a geometry-optimized LaTb5Y2Sc structure at the PBE level of DFT.

a = 5.6311 Å, b = 10.2522 Å, c = 10.4184 Å
α = 90.00°, β = 90.00°, γ = 105.94°
Last column: nearest neighbours and their distance in Å.
Fractional coordinates of all 18 atoms:
Sc  0.1982  0.3964  0.0132  2 Y 3.37-3.58, 8 Tb 3.45-3.75, 2 La 3.66
Y  0.1119  0.2238  0.3159  9 Tb 3.29-3.56, 1 Sc 3.58
Tb  0.7211  0.4422  0.8210  1 La 3.05, 1 Y 3.29, 2 Tb 3.41
Tb  0.2789  0.5578  0.3210  1 La 3.05, 1 Y 3.29, 2 Tb 3.41
Tb  0.5171  0.0342  0.2395  2 La 3.01-3.24
La  0.4161  0.8323  0.4557  5 Tb 3.01-3.24
Tb  0.0198  0.0397  0.0215  2 La 3.16, 3 Y 3.37-3.53, 1 Sc 3.52
Tb  0.7031  0.4063  0.2051  4 Tb 3.41-3.69, 3 Sc 3.45-3.75, 1 La 3.50, 3 Y 3.54-3.62
Tb  0.9802  0.9603  0.5215  2 La 3.16, 3 Y 3.37-3.53, 1 Sc 3.52
Tb  0.4829  0.9658  0.7395  2 La 3.01-3.24
Tb  0.6230  0.2459  0.5198  1 Sc 3.53, 4 Y 3.53-3.59, 4 Tb 3.59-3.69
La  0.5839  0.1677  0.9557  5 Tb 3.01-3.24
Y  0.8881  0.7762  0.8159  9 Tb 3.29-3.56, 1 Sc 3.58
Y  0.8864  0.7728  0.2324  1 Sc 3.37, 7 Tb 3.43-3.64, 2 La 3.70
Tb  0.2969  0.5937  0.7051  4 Tb 3.41-3.69, 3 Sc 3.45-3.75, 1 La 3.50, 3 Y 3.54-3.62
Sc  0.8018  0.6036  0.5132  2 Y 3.37-3.58, 8 Tb 3.45-3.75, 2 La 3.66
Y  0.1136  0.2272  0.7324  1 Sc 3.37, 7 Tb 3.43-3.64, 2 La 3.70
Tb  0.3770  0.7541  0.0198  1 Sc 3.53, 4 Y 3.53-3.59, 4 Tb 3.59-3.69

Symmetry: Cmc2_1 (36)
N(E_F) in states/eV/f.u.: 14.88
Crystal system: orthorhombic
Energy of formation from the pure elements in eV/atom: 0.1732


Computed, not measured: a geometry-optimized TlFe2Ru structure at the PBE level of DFT.

a = 3.9068 Å, b = 3.9067 Å, c = 3.9847 Å
α = 90.00°, β = 90.00°, γ = 90.00°
Last column: nearest neighbours and their distance in Å.
Fractional coordinates of all 4 atoms:
Fe  0.0000  0.0000  0.0000  4 Fe 2.76, 4 Tl 2.79, 4 Ru 2.79
Ru  0.5000  0.0000  0.5000  4 Tl 2.76, 8 Fe 2.79
Fe  0.5000  0.5000  0.0000  4 Fe 2.76, 4 Ru 2.79, 4 Tl 2.79
Tl  0.0000  0.5000  0.5000  4 Ru 2.76, 8 Fe 2.79

Symmetry: P4/mmm (123)
N(E_F) in states/eV/f.u.: 2.95
Energy above the lowest structure with this stoichiometry in eV per atom: 0.0476
Crystal system: tetragonal
Energy of formation from the pure elements in eV/atom: 0.4350


Computed, not measured: a geometry-optimized PmNdSbCl structure at the PBE level of DFT.

a = 5.3300 Å, b = 5.3300 Å, c = 5.3300 Å
α = 60.00°, β = 60.00°, γ = 60.00°
Last column: nearest neighbours and their distance in Å.
Fractional coordinates of all 4 atoms:
Sb  0.7500  0.7500  0.7500  4 Pm 3.26, 4 Nd 3.26
Cl  0.2500  0.2500  0.2500  4 Pm 3.26, 4 Nd 3.26
Pm  0.5000  0.5000  0.5000  4 Sb 3.26, 4 Cl 3.26
Nd  0.0000  0.0000  0.0000  4 Cl 3.26, 4 Sb 3.26

E_form (uncorrected) in meV per atom: -1203
Symmetry: F-43m (216)
N(E_F) in states/eV/f.u.: 2.92
Crystal system: cubic


Computed, not measured: a geometry-optimized I2BrCl structure at the PBE level of DFT.

a = 5.0682 Å, b = 5.0682 Å, c = 10.9010 Å
α = 76.56°, β = 76.56°, γ = 90.00°
Last column: nearest neighbours and their distance in Å.
Fractional coordinates of all 8 atoms:
Cl  0.5000  0.5000  0.0000  4 I 3.15
I  0.8750  0.8822  0.7500  2 Br 3.12, 2 Cl 3.15
Br  0.7500  0.2500  0.5000  4 I 3.12
I  0.6322  0.1250  0.2500  2 Br 3.12, 2 Cl 3.15
I  0.3750  0.3678  0.7500  2 Br 3.12, 2 Cl 3.15
I  0.1178  0.6250  0.2500  2 Br 3.12, 2 Cl 3.15
Br  0.0000  0.0000  0.0000  4 I 3.12
Cl  0.2500  0.7500  0.5000  4 I 3.15

E_form (uncorrected) in meV per atom: 409
Symmetry: I-42d (122)
N(E_F) in states/eV/f.u.: 7.20
Energy above the lowest structure with this stoichiometry in eV per atom: 0.4946
Crystal system: tetragonal


Computed, not measured: a geometry-optimized TbThSe3 structure at the PBE level of DFT.

a = 4.2255 Å, b = 7.3050 Å, c = 10.7729 Å
α = 90.00°, β = 101.31°, γ = 90.00°
Last column: nearest neighbours and their distance in Å.
Fractional coordinates of all 10 atoms:
Th  0.6609  0.9940  0.3218  6 Se 2.84-3.08
Se  0.2506  0.1593  0.5012  3 Tb 3.04-3.05, 3 Th 3.08
Tb  0.8367  0.9904  0.6735  6 Se 2.82-3.05
Se  0.7494  0.6593  0.4988  3 Tb 3.04-3.05, 3 Th 3.08
Se  0.4058  0.8316  0.8117  2 Tb 2.82, 1 Th 2.84
Tb  0.1633  0.4904  0.3265  6 Se 2.82-3.05
Se  0.9086  0.3188  0.8172  1 Tb 2.84, 2 Th 2.87
Se  0.5942  0.3316  0.1883  2 Tb 2.82, 1 Th 2.84
Se  0.0914  0.8188  0.1828  1 Tb 2.84, 2 Th 2.87
Th  0.3391  0.4940  0.6782  6 Se 2.84-3.08

E_form (uncorrected) in meV per atom: -1655
Symmetry: Cmc2_1 (36)
N(E_F) in states/eV/f.u.: 3.20
Energy above the lowest structure with this stoichiometry in eV per atom: 0.1247
Crystal system: orthorhombic


Computed, not measured: a geometry-optimized TiMnGa2 structure at the PBE level of DFT.

a = 2.8699 Å, b = 2.8699 Å, c = 8.7860 Å
α = 80.59°, β = 80.59°, γ = 60.00°
Last column: nearest neighbours and their distance in Å.
Fractional coordinates of all 4 atoms:
Ga  0.0874  0.0874  0.7378  3 Mn 2.64, 3 Ti 2.81, 6 Ga 2.87
Ti  0.6662  0.6662  0.0014  6 Ga 2.79-2.81, 6 Ti 2.87
Mn  0.5003  0.5003  0.4993  6 Ga 2.64, 6 Mn 2.87
Ga  0.2462  0.2462  0.2616  3 Mn 2.64, 3 Ti 2.79, 6 Ga 2.87

Symmetry: R3m (160)
N(E_F) in states/eV/f.u.: 4.38
Crystal system: trigonal
Energy of formation from the pure elements in eV/atom: -0.1351


Computed, not measured: a geometry-optimized Ag4Pd2Au5 structure at the PBE level of DFT.

a = 2.8773 Å, b = 7.4028 Å, c = 9.3773 Å
α = 87.49°, β = 99.06°, γ = 90.08°
Last column: nearest neighbours and their distance in Å.
Fractional coordinates of all 11 atoms:
Ag  0.7682  0.8260  0.5311  6 Au 2.81-3.00, 5 Ag 2.88-3.01
Pd  0.5567  0.6262  0.1106  5 Au 2.83-2.94, 3 Pd 2.83-2.88, 4 Ag 2.88-2.92
Au  0.5000  0.0000  0.0000  6 Au 2.86-2.88, 2 Pd 2.91, 4 Ag 2.95-2.96
Au  0.1852  0.5429  0.3687  2 Pd 2.83-2.84, 4 Ag 2.84-3.00, 5 Au 2.85-2.88
Au  0.8148  0.4571  0.6313  2 Pd 2.83-2.84, 4 Ag 2.84-3.00, 5 Au 2.85-2.88
Ag  0.9229  0.7159  0.8482  4 Au 2.84-2.96, 4 Pd 2.88-2.92, 3 Ag 2.88-3.01
Pd  0.4433  0.3738  0.8894  5 Au 2.83-2.94, 3 Pd 2.83-2.88, 4 Ag 2.88-2.92
Ag  0.2318  0.1740  0.4689  6 Au 2.81-3.00, 5 Ag 2.88-3.01
Au  0.1315  0.9093  0.2600  4 Ag 2.81-2.94, 5 Au 2.85-2.88, 2 Pd 2.93-2.94
Ag  0.0771  0.2841  0.1518  4 Au 2.84-2.96, 4 Pd 2.88-2.92, 3 Ag 2.88-3.01
Au  0.8685  0.0907  0.7400  4 Ag 2.81-2.94, 5 Au 2.85-2.88, 2 Pd 2.93-2.94

Symmetry: P-1 (2)
N(E_F) in states/eV/f.u.: 4.26
Energy above the lowest structure with this stoichiometry in eV per atom: 0.0000
Crystal system: triclinic
Energy of formation from the pure elements in eV/atom: -0.0123


Computed, not measured: a geometry-optimized TbDyBeRh structure at the PBE level of DFT.

a = 4.8588 Å, b = 4.8588 Å, c = 4.8588 Å
α = 60.00°, β = 60.00°, γ = 60.00°
Last column: nearest neighbours and their distance in Å.
Fractional coordinates of all 4 atoms:
Dy  0.7500  0.7500  0.7500  4 Rh 2.98, 4 Be 2.98
Be  0.0000  0.0000  0.0000  4 Dy 2.98, 4 Tb 2.98
Tb  0.2500  0.2500  0.2500  4 Be 2.98, 4 Rh 2.98
Rh  0.5000  0.5000  0.5000  4 Tb 2.98, 4 Dy 2.98

Symmetry: F-43m (216)
N(E_F) in states/eV/f.u.: 1.93
Crystal system: cubic
Energy of formation from the pure elements in eV/atom: -0.3644


Number 1: volume 94.1 Å³ per cell. Number 2: volume 1096.4 Å³ per cell. Number 3: volume 335.0 Å³ per cell. Number 4: volume 540.6 Å³ per cell. Number 5: volume 578.3 Å³ per cell. Number 6: volume 60.8 Å³ per cell. Number 7: volume 107.1 Å³ per cell. Number 8: volume 264.4 Å³ per cell. Number 9: volume 326.1 Å³ per cell. Number 10: volume 61.5 Å³ per cell. Number 11: volume 197.1 Å³ per cell. Number 12: volume 81.1 Å³ per cell.